1.
The following is a PBE calculation of an optimized crystal structure of K3Hg2Sb, from Alexandria via LeMat-Bulk.

Cell: 9.147 10.211 10.816 Å, 90.00 98.55 90.00°
Space group P2_1/c (No. 14)
Inequivalent atoms, fractional coordinates:
K1 0.179 0.108 0.475 (multiplicity 4)
K2 0.281 0.689 0.285 (multiplicity 4)
K3 0.314 0.041 0.118 (multiplicity 4)
Hg1 0.038 0.108 0.789 (multiplicity 4)
Hg2 0.448 0.640 0.029 (multiplicity 4)
Sb1 0.357 0.158 0.797 (multiplicity 4)

Properties
Energy in eV per atom: -1.64
ρ in g cm⁻³: 4.26



2.
The following is a PBE calculation of an optimized crystal structure of Zn2TcGeB, from Alexandria via LeMat-Bulk.

Cell: 4.135 4.135 4.199 Å, 90.00 90.00 90.00°
Space group P4/mmm (No. 123)
Inequivalent atoms, fractional coordinates:
Zn1 0.000 0.500 0.000 (multiplicity 2)
Tc1 0.000 0.000 0.500 (multiplicity 1)
Ge1 0.500 0.500 0.500 (multiplicity 1)
B1 0.000 0.000 0.000 (multiplicity 1)

Properties
Energy in eV per atom: -4.44
ρ in g cm⁻³: 7.22
ΔE_f in eV/f.u.: 2.03



3.
The following is a PBE calculation of an optimized crystal structure of CaGa3Ge, from Alexandria via LeMat-Bulk.

Cell: 5.447 5.447 5.447 Å, 90.00 90.00 90.00°
Space group Pm-3m (No. 221)
Inequivalent atoms, fractional coordinates:
Ca1 0.000 0.000 0.000 (multiplicity 1)
Ga1 0.000 0.000 0.500 (multiplicity 3)
Ge1 0.500 0.500 0.500 (multiplicity 1)

Properties
Energy in eV per atom: -2.26
Energy above the most stable polymorph in this dataset in meV/atom: 1182
ρ in g cm⁻³: 3.31
ΔE_f in eV/f.u.: 4.38



4.
The following is a PBE calculation of an optimized crystal structure of LaPaVN3, from Alexandria via LeMat-Bulk.

Cell: 7.347 3.529 7.845 Å, 90.00 99.34 90.00°
Space group P2_1/m (No. 11)
Inequivalent atoms, fractional coordinates:
La1 0.160 0.250 0.169 (multiplicity 2)
Pa1 0.352 0.750 0.832 (multiplicity 2)
V1 0.086 0.250 0.597 (multiplicity 2)
N1 0.127 0.250 0.848 (multiplicity 2)
N2 0.164 0.750 0.530 (multiplicity 2)
N3 0.429 0.750 0.125 (multiplicity 2)

Properties
Energy in eV per atom: -9.33
ρ in g cm⁻³: 7.66



- Which formula does entry 1 have?
  K3Hg2Sb



- Which formula does entry 4 have?
  LaPaVN3



What did the fourth record say?
The following is a PBE calculation of an optimized crystal structure of LaPaVN3, from Alexandria via LeMat-Bulk.

Cell: 7.347 3.529 7.845 Å, 90.00 99.34 90.00°
Space group P2_1/m (No. 11)
Inequivalent atoms, fractional coordinates:
La1 0.160 0.250 0.169 (multiplicity 2)
Pa1 0.352 0.750 0.832 (multiplicity 2)
V1 0.086 0.250 0.597 (multiplicity 2)
N1 0.127 0.250 0.848 (multiplicity 2)
N2 0.164 0.750 0.530 (multiplicity 2)
N3 0.429 0.750 0.125 (multiplicity 2)

Properties
Energy in eV per atom: -9.33
ρ in g cm⁻³: 7.66



- Number 1 is which compound?
  K3Hg2Sb